No. 1
# PBE CaFeAg, relaxed
# Formation energy in eV/atom: 0.57
data_CaFeAg
_chemical_formula_sum 'Ca4 Fe4 Ag4'
_cell_length_a 6.5062
_cell_length_b 6.5062
_cell_length_c 6.5062
_cell_angle_alpha 90.00
_cell_angle_beta 90.00
_cell_angle_gamma 90.00
_space_group_name_H-M_alt 'F -4 3 m'
_space_group_IT_number 216
_space_group_name_Hall 'F -4 2 3'
loop_
_atom_site_label
_atom_site_fract_x
_atom_site_fract_y
_atom_site_fract_z
Ca1 0.0000 0.0000 0.0000
Fe1 0.2500 0.2500 0.7500
Ag1 0.0000 0.0000 0.5000

=====

No. 2
# PBE PmYHo2Sc, relaxed
# Formation energy in eV/atom: 0.33
data_PmYHo2Sc
_chemical_formula_sum 'Pm4 Y4 Ho8 Sc4'
_cell_length_a 8.1579
_cell_length_b 11.2637
_cell_length_c 7.0712
_cell_angle_alpha 90.00
_cell_angle_beta 90.00
_cell_angle_gamma 90.00
_space_group_name_H-M_alt 'C m c m'
_space_group_IT_number 63
_space_group_name_Hall '-C 2c 2'
loop_
_atom_site_label
_atom_site_fract_x
_atom_site_fract_y
_atom_site_fract_z
Pm1 0.0000 0.2244 0.2500
Y1 0.0000 0.2397 0.7500
Ho1 0.1973 0.0000 0.0000
Sc1 0.0000 0.4871 0.2500

=====

No. 3
# PBE CaHg2Te, relaxed
# E_form (uncorrected) in eV per atom: -0.609
data_CaHg2Te
_chemical_formula_sum 'Ca1 Hg2 Te1'
_cell_length_a 4.2218
_cell_length_b 4.2218
_cell_length_c 7.0422
_cell_angle_alpha 90.00
_cell_angle_beta 90.00
_cell_angle_gamma 90.00
_space_group_name_H-M_alt 'P 4 m m'
_space_group_IT_number 99
_space_group_name_Hall 'P 4 -2'
loop_
_atom_site_label
_atom_site_fract_x
_atom_site_fract_y
_atom_site_fract_z
Ca1 0.0000 0.0000 0.0000
Hg1 0.0000 0.0000 0.4851
Hg2 0.5000 0.5000 0.3627
Te1 0.5000 0.5000 0.8689

=====

No. 4
# PBE Tb2Al4InPd3, relaxed
# Formation energy in eV/atom: -0.73
data_Tb2Al4InPd3
_chemical_formula_sum 'Tb2 Al4 In1 Pd3'
_cell_length_a 4.2532
_cell_length_b 4.2532
_cell_length_c 10.8260
_cell_angle_alpha 90.00
_cell_angle_beta 90.00
_cell_angle_gamma 90.00
_space_group_name_H-M_alt 'P -4 m 2'
_space_group_IT_number 115
_space_group_name_Hall 'P -4 -2'
loop_
_atom_site_label
_atom_site_fract_x
_atom_site_fract_y
_atom_site_fract_z
Tb1 0.0000 0.5000 0.2393
Al1 0.0000 0.0000 0.0000
Al2 0.0000 0.5000 0.6504
Al3 0.5000 0.5000 0.0000
In1 0.0000 0.0000 0.5000
Pd1 0.0000 0.5000 0.8739
Pd2 0.5000 0.5000 0.5000

=====

No. 5
# PBE AlVFe4, relaxed
# Formation energy in eV/atom: -0.18
data_AlVFe4
_chemical_formula_sum 'Al2 V2 Fe8'
_cell_length_a 8.9821
_cell_length_b 2.8959
_cell_length_c 5.8441
_cell_angle_alpha 90.00
_cell_angle_beta 109.03
_cell_angle_gamma 90.00
_space_group_name_H-M_alt 'C 1 2/m 1'
_space_group_IT_number 12
_space_group_name_Hall '-C 2y'
loop_
_atom_site_label
_atom_site_fract_x
_atom_site_fract_y
_atom_site_fract_z
Al1 0.0000 0.0000 0.0000
V1 0.0000 0.0000 0.5000
Fe1 0.1679 0.5000 0.3422
Fe2 0.1728 0.5000 0.8303

=====

No. 6
# PBE Hf6CoRh5, relaxed
# Formation energy in eV/atom: -0.78
data_Hf6CoRh5
_chemical_formula_sum 'Hf12 Co2 Rh10'
_cell_length_a 4.6072
_cell_length_b 13.8001
_cell_length_c 6.4923
_cell_angle_alpha 90.00
_cell_angle_beta 90.00
_cell_angle_gamma 90.00
_space_group_name_H-M_alt 'C m m m'
_space_group_IT_number 65
_space_group_name_Hall '-C 2 2'
loop_
_atom_site_label
_atom_site_fract_x
_atom_site_fract_y
_atom_site_fract_z
Hf1 0.0000 0.0000 0.2453
Hf2 0.0000 0.3358 0.2483
Co1 0.0000 0.5000 0.0000
Rh1 0.0000 0.1677 0.0000
Rh2 0.0000 0.1678 0.5000
Rh3 0.0000 0.5000 0.5000

=====

| no. | total energy (eV/cell) | DOS(E_F) (states/eV per atom) |
| --- | --- | --- |
| 1 | -46.4 | 1.2273 |
| 2 | -100.2 | 1.2539 |
| 3 | -8.2 | 0.3398 |
| 4 | -49.9 | 0.5638 |
| 5 | -95.6 | 0.7442 |
| 6 | -225.9 | 0.9232 |